[1]
First-principles (PBEsol) data for crystalline Y5Ag at its relaxed geometry, as listed in Alexandria via LeMat-Bulk.

a = 3.509 Å, b = 3.509 Å, c = 13.736 Å
α = 90.00°, β = 90.00°, γ = 90.00°
Element x y z (fractional)
Y: 0.000 0.000 0.000
Y: 0.000 0.000 0.365
Y: 0.000 0.000 0.635
Y: 0.500 0.500 0.180
Y: 0.500 0.500 0.820
Ag: 0.500 0.500 0.500

Computed properties:
The crystal system is tetragonal. The energy of formation comes out at -0.08 eV/atom. The total energy comes out at -6.32 eV/atom. The calculation puts the polymorph energy (0 for the lowest one) at 0 meV/atom. The value obtained for the total magnetization is 0.0 μB per cell.

---

[2]
First-principles (PBEsol) data for crystalline HoCu2O4 at its relaxed geometry, as listed in Alexandria via LeMat-Bulk.

a = 6.175 Å, b = 6.175 Å, c = 6.175 Å
α = 126.31°, β = 126.31°, γ = 79.37°
Element x y z (fractional)
Ho: 0.375 0.125 0.250
Ho: 0.625 0.875 0.750
Cu: 0.000 0.000 0.500
Cu: 0.000 0.500 0.000
Cu: 0.000 0.500 0.500
Cu: 0.500 0.500 0.000
O: 0.031 0.134 0.310
O: 0.221 0.531 0.397
O: 0.324 0.721 0.190
O: 0.366 0.176 0.897
O: 0.634 0.824 0.103
O: 0.676 0.279 0.810
O: 0.779 0.469 0.603
O: 0.969 0.866 0.690

Computed properties:
The crystal system is tetragonal. The calculation puts the energy relative to the elements, uncorrected at -1.728 eV per atom. The total energy comes out at -6.67 eV/atom. The value obtained for the total magnetization is 1.7 μB per cell.

---

[3]
First-principles (PBEsol) data for crystalline ScCu2Os at its relaxed geometry, as listed in Alexandria via LeMat-Bulk.

a = 6.099 Å, b = 6.099 Å, c = 6.099 Å
α = 90.00°, β = 90.00°, γ = 90.00°
Element x y z (fractional)
Sc: 0.000 0.000 0.000
Sc: 0.000 0.500 0.500
Sc: 0.500 0.000 0.500
Sc: 0.500 0.500 0.000
Cu: 0.000 0.000 0.500
Cu: 0.000 0.500 0.000
Cu: 0.250 0.250 0.250
Cu: 0.250 0.750 0.750
Cu: 0.500 0.000 0.000
Cu: 0.500 0.500 0.500
Cu: 0.750 0.250 0.750
Cu: 0.750 0.750 0.250
Os: 0.250 0.250 0.750
Os: 0.250 0.750 0.250
Os: 0.750 0.250 0.250
Os: 0.750 0.750 0.750

Computed properties:
The crystal system is cubic. The energy of formation comes out at 0.17 eV/atom. The total energy comes out at -6.71 eV/atom. The calculation puts the polymorph energy (0 for the lowest one) at 132 meV/atom. The value obtained for the total magnetization is 0.0 μB per cell.